[1]
A plane-wave DFT calculation with PBE-GGA was carried out for a relaxed Sc3Pt2Au2 crystal.

DOS(E_F) in states/eV/atom: 0.595
Energy relative to the elements in meV per atom: -907

Unit cell a=4.717 b=4.724 c=7.280 alpha=100.10 beta=98.87 gamma=119.00
Space group P-1 (No. 2)
Unique sites:
Sc (0.000, 0.000, 0.000) [1 per cell]
Sc (0.462, 0.819, 0.283) [2 per cell]
Pt (0.186, 0.199, 0.385) [2 per cell]
Au (0.257, 0.576, 0.831) [2 per cell]

[2]
A plane-wave DFT calculation with PBE-GGA was carried out for a relaxed BaCrAgHg2 crystal.

DOS(E_F) in states/eV/atom: 0.735
Energy relative to the elements in meV per atom: 78

Unit cell a=5.326 b=5.326 c=5.278 alpha=90.00 beta=90.00 gamma=90.00
Space group P4/mmm (No. 123)
Unique sites:
Ba (0.000, 0.000, 0.000) [1 per cell]
Cr (0.500, 0.500, 0.500) [1 per cell]
Ag (0.500, 0.500, 0.000) [1 per cell]
Hg (0.000, 0.500, 0.500) [2 per cell]

[3]
A plane-wave DFT calculation with PBE-GGA was carried out for a relaxed YScHg2 crystal.

DOS(E_F) in states/eV/atom: 1.185
Energy relative to the elements in meV per atom: -139
Energy above the most stable polymorph in this dataset in eV per atom: 0.326

Unit cell a=7.848 b=7.848 c=6.989 alpha=90.00 beta=90.00 gamma=90.00
Space group I-42d (No. 122)
Unique sites:
Y (0.000, 0.000, 0.000) [4 per cell]
Sc (0.000, 0.000, 0.500) [4 per cell]
Hg (0.231, 0.250, 0.625) [8 per cell]

[4]
A plane-wave DFT calculation with PBE-GGA was carried out for a relaxed Pr3Sm4Tl crystal.

DOS(E_F) in states/eV/atom: 1.405
Energy relative to the elements in meV per atom: -78
Energy above the most stable polymorph in this dataset in eV per atom: 0.000

Unit cell a=3.691 b=3.691 c=19.761 alpha=90.00 beta=90.00 gamma=90.00
Space group P4/mmm (No. 123)
Unique sites:
Pr (0.000, 0.000, 0.000) [1 per cell]
Pr (0.000, 0.000, 0.263) [2 per cell]
Sm (0.500, 0.500, 0.131) [2 per cell]
Sm (0.500, 0.500, 0.393) [2 per cell]
Tl (0.000, 0.000, 0.500) [1 per cell]

[5]
A plane-wave DFT calculation with PBE-GGA was carried out for a relaxed Mo3Pt crystal.

DOS(E_F) in states/eV/atom: 1.069
Energy relative to the elements in meV per atom: 106
Energy above the most stable polymorph in this dataset in eV per atom: 0.232

Unit cell a=2.7814 b=2.7814 c=9.4800 alpha=90.00 beta=90.00 gamma=120.00
Space group P-6m2 (No. 187)
Unique sites:
Mo (0.0000, 0.0000, 0.0000) [1 per cell]
Mo (0.6667, 0.3333, 0.2578) [2 per cell]
Pt (0.0000, 0.0000, 0.5000) [1 per cell]

[6]
A plane-wave DFT calculation with PBE-GGA was carried out for a relaxed BaCa2Al crystal.

DOS(E_F) in states/eV/atom: 0.839
Energy relative to the elements in meV per atom: 5

Unit cell a=5.4680 b=5.4680 c=18.9793 alpha=90.00 beta=90.00 gamma=120.00
Space group R3m (No. 160, hexagonal axes)
Unique sites:
Ba (0.0000, 0.0000, 0.0000) [3 per cell]
Ca (0.0000, 0.0000, 0.5472) [3 per cell]
Ca (0.0000, 0.0000, 0.7930) [3 per cell]
Al (0.0000, 0.0000, 0.1910) [3 per cell]

[7]
A plane-wave DFT calculation with PBE-GGA was carried out for a relaxed AlGa4W crystal.

DOS(E_F) in states/eV/atom: 0.496
Energy relative to the elements in meV per atom: 160

Unit cell a=5.416 b=5.752 c=7.256 alpha=90.00 beta=90.00 gamma=90.00
Space group Pmmm (No. 47)
Unique sites:
Al (0.000, 0.000, 0.000) [1 per cell]
Al (0.500, 0.000, 0.500) [1 per cell]
Ga (0.247, 0.269, 0.243) [8 per cell]
W (0.500, 0.000, 0.000) [1 per cell]
W (0.500, 0.500, 0.500) [1 per cell]

[8]
A plane-wave DFT calculation with PBE-GGA was carried out for a relaxed Ho8Tl4CS3 crystal.

Electronic total energy in eV/atom: -5.230
DOS(E_F) in states/eV/atom: 0.459

Unit cell a=7.567 b=7.578 c=8.971 alpha=65.22 beta=65.18 gamma=60.15
Space group P-1 (No. 2)
Unique sites:
Ho (0.215, 0.256, 0.313) [2 per cell]
Ho (0.216, 0.715, 0.312) [2 per cell]
Ho (0.244, 0.285, 0.687) [2 per cell]
Ho (0.266, 0.766, 0.702) [2 per cell]
Tl (0.000, 0.000, 0.000) [1 per cell]
Tl (0.000, 0.500, 0.000) [1 per cell]
Tl (0.500, 0.000, 0.000) [1 per cell]
Tl (0.500, 0.500, 0.000) [1 per cell]
C (0.000, 0.500, 0.500) [1 per cell]
S (0.000, 0.000, 0.500) [1 per cell]
S (0.500, 0.000, 0.500) [1 per cell]
S (0.500, 0.500, 0.500) [1 per cell]

- The highest DOS(E_F) belongs to which entry?
  Pr3Sm4Tl